VASP calculation (PBE) on a relaxed structure of Tb6DyHo2.

Values from the calculation:
VASP energy = -4.505 eV/atom
M_tot = 0.0000 μB/atom

Cell lengths 12.7347, 14.1705, 6.5527 Å; angles 90.00, 104.20, 90.00 degrees
Space group C2/c (No. 15)
One atom of each set of equivalent atoms:
Tb1 0.0359 0.1843 0.0032 (multiplicity 8)
Tb2 0.1338 0.4120 0.8182 (multiplicity 8)
Tb3 0.2389 0.2009 0.7256 (multiplicity 8)
Dy1 0.0000 0.3797 0.2500 (multiplicity 4)
Ho1 0.1418 0.0234 0.3671 (multiplicity 8)